1.
# Zr2ReHg (PBE-GGA, optimized geometry)
# - calculated total energy (Ha/atom) = -0.27464
# - density of states at the Fermi level (states/eV/f.u.) = 2.6
# - calculated formation energy (eV per atom) = -0.01
# - total moment (μB/f.u.) = 0.00
data_Zr2ReHg
_chemical_formula_sum 'Zr6 Re3 Hg3'
_cell_length_a 3.2816
_cell_length_b 3.2816
_cell_length_c 26.8791
_cell_angle_alpha 90.00
_cell_angle_beta 90.00
_cell_angle_gamma 120.00
_symmetry_space_group_name_H-M 'R -3 m'
_symmetry_Int_Tables_number 166
_symmetry_space_group_name_Hall '-R 3 2"'
loop_
_atom_site_label
_atom_site_type_symbol
_atom_site_fract_x
_atom_site_fract_y
_atom_site_fract_z
Zr1 Zr 0.0000 0.0000 0.2414
Re1 Re 0.0000 0.0000 0.5000
Hg1 Hg 0.0000 0.0000 0.0000

2.
# Na3Tm3BiTe8 (PBE-GGA, optimized geometry)
# - calculated total energy (Ha/atom) = -0.15146
# - density of states at the Fermi level (states/eV/f.u.) = 9.8
# - total moment (μB/f.u.) = 0.00
# - ΔE_f (raw) (meV per atom) = -1029
data_Na3Tm3BiTe8
_chemical_formula_sum 'Na6 Tm6 Bi2 Te16'
_cell_length_a 15.0995
_cell_length_b 8.6821
_cell_length_c 9.1828
_cell_angle_alpha 90.00
_cell_angle_beta 123.34
_cell_angle_gamma 90.00
_symmetry_space_group_name_H-M 'C 1 2/m 1'
_symmetry_Int_Tables_number 12
_symmetry_space_group_name_Hall '-C 2y'
loop_
_atom_site_label
_atom_site_type_symbol
_atom_site_fract_x
_atom_site_fract_y
_atom_site_fract_z
Na1 Na 0.0000 0.0000 0.0000
Na2 Na 0.2500 0.2500 0.0000
Tm1 Tm 0.0000 0.5000 0.5000
Tm2 Tm 0.2500 0.2500 0.5000
Bi1 Bi 0.0000 0.0000 0.5000
Te1 Te 0.0085 0.2587 0.2670
Te2 Te 0.2433 0.5000 0.7298
Te3 Te 0.2501 0.0000 0.7331